Material: FeC3
Method: DFT, GGA-PBE
State: relaxed

The structure belongs to space group R-3m (No. 166, hexagonal axes); the cell edges are 2.4998, 2.4998 and 14.7270 Å and the angles 90.00°, 90.00° and 120.00°. The inequivalent atoms are Fe at (0.0000, 0.0000, 0.0000), C at (0.0000, 0.0000, 0.2333) and C at (0.0000, 0.0000, 0.5000).

For the excess energy over the best structure of this formula in the dataset, the calculation gives 1.138 eV/atom. As for the volume: 79.7 Å³ per cell. As for the formation energy: 1.71 eV/atom.

***

Material: FeC2
Method: DFT, GGA-PBE
State: relaxed

The structure belongs to space group P6_3/mmc (No. 194); the cell edges are 3.2617, 3.2617 and 10.3504 Å and the angles 90.00°, 90.00° and 120.00°. The inequivalent atoms are Fe at (0.3333, 0.6667, 0.0839), C at (0.0000, 0.0000, 0.0000) and C at (0.1555, 0.3110, 0.2500).

For the excess energy over the best structure of this formula in the dataset, the calculation gives 0.860 eV/atom. As for the volume: 95.4 Å³ per cell. As for the formation energy: 1.38 eV/atom.